Entry 1:
VASP calculation (PBE) on a geometry-optimized Pu3Si2Ru structure.

a b c (Å): 11.3864 4.4491 8.9909
angles (deg): 90.00 90.00 90.00
Element x y z (fractional)
Pu 0.0559 0.2500 0.0977
Pu 0.1669 0.7500 0.6212
Pu 0.2420 0.2500 0.7584
Pu 0.2580 0.7500 0.2584
Pu 0.3331 0.2500 0.1212
Pu 0.4441 0.7500 0.5977
Pu 0.5559 0.2500 0.4023
Pu 0.6669 0.7500 0.8788
Pu 0.7420 0.2500 0.7416
Pu 0.7580 0.7500 0.2416
Pu 0.8331 0.2500 0.3788
Pu 0.9441 0.7500 0.9023
Si 0.0106 0.7500 0.3235
Si 0.2035 0.7500 0.9533
Si 0.2965 0.2500 0.4533
Si 0.4894 0.2500 0.8235
Si 0.5106 0.7500 0.1765
Si 0.7035 0.7500 0.5467
Si 0.7965 0.2500 0.0467
Si 0.9894 0.2500 0.6765
Ru 0.0789 0.2500 0.4275
Ru 0.4211 0.7500 0.9275
Ru 0.5789 0.2500 0.0725
Ru 0.9211 0.7500 0.5725

Computed properties:
* formation energy without anion corrections: -425 meV/atom
* M_tot: 5.61 μB per formula unit
* calculated total energy: -0.804 Ry/atom
* space group: Pnma

=====

Entry 2:
VASP calculation (PBE) on a geometry-optimized MgIrN3 structure.

a b c (Å): 3.8636 3.8636 3.8636
angles (deg): 90.00 90.00 90.00
Element x y z (fractional)
Mg 0.0000 0.0000 0.0000
Ir 0.5000 0.5000 0.5000
N 0.0000 0.5000 0.5000
N 0.5000 0.0000 0.5000
N 0.5000 0.5000 0.0000

Computed properties:
* formation energy without anion corrections: 991 meV/atom
* M_tot: 0.00 μB per formula unit
* calculated total energy: -0.448 Ry/atom
* space group: Pm-3m